Entry 1:
Here is a relaxed ZrSbTe4 crystal from Alexandria via LeMat-Bulk. Energies are from GGA-PBE.

Unit cell a=3.958 b=7.496 c=7.938 alpha=118.03 beta=104.33 gamma=90.01
Fractional positions:
Zr (0.000, 0.000, 0.000)
Sb (0.500, 0.500, 0.000)
Te (0.133, 0.822, 0.267)
Te (0.371, 0.705, 0.741)
Te (0.629, 0.295, 0.259)
Te (0.867, 0.178, 0.733)

## Properties
* uncorrected formation energy: -2.60 eV per formula unit
* N(E_F): 2.4 states/eV/cell
* E_tot: -0.34103 Ry per atom

=====

Entry 2:
Here is a relaxed ZrSbTe4 crystal from Alexandria via LeMat-Bulk. Energies are from GGA-PBE.

Unit cell a=6.217 b=6.217 c=6.217 alpha=60.00 beta=60.00 gamma=60.00
Fractional positions:
Zr (0.000, 0.000, 0.000)
Sb (0.750, 0.750, 0.750)
Te (0.374, 0.374, 0.374)
Te (0.374, 0.374, 0.878)
Te (0.374, 0.878, 0.374)
Te (0.878, 0.374, 0.374)

## Properties
* uncorrected formation energy: 3.24 eV per formula unit
* N(E_F): 6.9 states/eV/cell
* E_tot: -0.26947 Ry per atom

=====

Entry 3:
Here is a relaxed ZrSbTe crystal from Alexandria via LeMat-Bulk. Energies are from GGA-PBE.

Unit cell a=5.856 b=5.856 c=5.856 alpha=142.56 beta=142.56 gamma=53.99
Fractional positions:
Zr (0.000, 0.000, 0.000)
Sb (0.657, 0.657, 0.000)
Te (0.358, 0.358, 0.000)

## Properties
* uncorrected formation energy: -1.56 eV per formula unit
* N(E_F): 1.9 states/eV/cell
* E_tot: -0.42560 Ry per atom

=====

Which of these has the lowest N(E_F)? ZrSbTe

=====

N(E_F) of number 1 (ZrSbTe4)? 2.4 states/eV/cell

=====

What is the formula in the first record? ZrSbTe4